{
  "formula": "Zr2InSnF",
  "functional": "GGA-PBE",
  "state": "optimized geometry",
  "dft_energy_ev_per_cell": -25.5,
  "dos_at_fermi_per_ev_atom": 0.36,
  "sg": "No. 123",
  "magmom_total_mub_per_atom": 0.00,
  "cell": [[5.489, 0.000, 0.000], [0.000, 5.489, 0.000], [0.000, 0.000, 4.252]],
  "species": ["Zr", "Zr", "In", "Sn", "F"],
  "fractional_positions": [[0.000, 0.500, 0.000], [0.500, 0.000, 0.000], [0.000, 0.000, 0.000], [0.500, 0.500, 0.500], [0.000, 0.000, 0.500]]
}

---

{
  "formula": "Sr2InF2",
  "functional": "GGA-PBE",
  "state": "optimized geometry",
  "dft_energy_ev_per_cell": -20.0,
  "dos_at_fermi_per_ev_atom": 0.54,
  "sg": "No. 139",
  "magmom_total_mub_per_atom": 0.00,
  "cell": [[-2.618, 2.618, 4.779], [2.618, -2.618, 4.779], [2.618, 2.618, -4.779]],
  "species": ["Sr", "Sr", "In", "F", "F"],
  "fractional_positions": [[0.250, 0.750, 0.500], [0.750, 0.250, 0.500], [0.000, 0.000, 0.000], [0.274, 0.274, 0.000], [0.726, 0.726, 0.000]]
}

---

{
  "formula": "SrIn2F8",
  "functional": "GGA-PBE",
  "state": "optimized geometry",
  "dft_energy_ev_per_cell": -52.9,
  "dos_at_fermi_per_ev_atom": 0.00,
  "sg": "No. 147",
  "magmom_total_mub_per_atom": 0.00,
  "cell": [[7.251, 0.000, 0.000], [-3.626, 6.280, 0.000], [0.000, 0.000, 4.283]],
  "species": ["Sr", "In", "In", "F", "F", "F", "F", "F", "F", "F", "F"],
  "fractional_positions": [[0.000, 0.000, 0.000], [0.333, 0.667, 0.267], [0.667, 0.333, 0.733], [0.171, 0.826, 0.262], [0.174, 0.345, 0.262], [0.333, 0.667, 0.765], [0.345, 0.171, 0.738], [0.655, 0.829, 0.262], [0.667, 0.333, 0.235], [0.826, 0.655, 0.738], [0.829, 0.174, 0.738]]
}

---

{
  "formula": "Sr2InF8",
  "functional": "GGA-PBE",
  "state": "optimized geometry",
  "dft_energy_ev_per_cell": -53.7,
  "sg": "No. 12",
  "magmom_total_mub_per_atom": 0.10,
  "cell": [[6.753, -1.908, 0.000], [6.753, 1.908, 0.000], [-1.550, 0.000, 6.128]],
  "species": ["Sr", "Sr", "In", "F", "F", "F", "F", "F", "F", "F", "F"],
  "fractional_positions": [[0.177, 0.177, 0.191], [0.823, 0.823, 0.809], [0.500, 0.500, 0.500], [0.009, 0.009, 0.314], [0.218, 0.218, 0.832], [0.349, 0.349, 0.522], [0.428, 0.428, 0.025], [0.572, 0.572, 0.975], [0.651, 0.651, 0.478], [0.782, 0.782, 0.168], [0.991, 0.991, 0.686]]
}

---

{
  "formula": "SrIn2F8",
  "functional": "GGA-PBE",
  "state": "optimized geometry",
  "dft_energy_ev_per_cell": -53.8,
  "dos_at_fermi_per_ev_atom": 0.00,
  "sg": "No. 12",
  "magmom_total_mub_per_atom": 0.00,
  "cell": [[3.384, -5.059, 0.000], [3.384, 5.059, 0.000], [-0.750, 0.000, 4.098]],
  "species": ["Sr", "In", "In", "F", "F", "F", "F", "F", "F", "F", "F"],
  "fractional_positions": [[0.000, 0.000, 0.000], [0.323, 0.677, 0.500], [0.677, 0.323, 0.500], [0.051, 0.326, 0.570], [0.254, 0.746, 0.000], [0.326, 0.051, 0.570], [0.386, 0.386, 0.215], [0.614, 0.614, 0.785], [0.674, 0.949, 0.430], [0.746, 0.254, 0.000], [0.949, 0.674, 0.430]]
}

---

{
  "formula": "Sr3In5F12",
  "functional": "GGA-PBE",
  "state": "optimized geometry",
  "dft_energy_ev_per_cell": -371.0,
  "dos_at_fermi_per_ev_atom": 0.28,
  "sg": "No. 230",
  "magmom_total_mub_per_atom": 0.00,
  "cell": [[-7.336, 7.336, 7.336], [7.336, -7.336, 7.336], [7.336, 7.336, -7.336]],
  "species": ["Sr", "Sr", "Sr", "Sr", "Sr", "Sr", "Sr", "Sr", "Sr", "Sr", "Sr", "Sr", "In", "In", "In", "In", "In", "In", "In", "In", "In", "In", "In", "In", "In", "In", "In", "In", "In", "In", "In", "In", "F", "F", "F", "F", "F", "F", "F", "F", "F", "F", "F", "F", "F", "F", "F", "F", "F", "F", "F", "F", "F", "F", "F", "F", "F", "F", "F", "F", "F", "F", "F", "F", "F", "F", "F", "F", "F", "F", "F", "F", "F", "F", "F", "F", "F", "F", "F", "F"],
  "fractional_positions": [[0.125, 0.250, 0.375], [0.125, 0.375, 0.750], [0.250, 0.375, 0.125], [0.250, 0.875, 0.625], [0.375, 0.125, 0.250], [0.375, 0.750, 0.125], [0.625, 0.250, 0.875], [0.625, 0.875, 0.750], [0.750, 0.125, 0.375], [0.750, 0.625, 0.875], [0.875, 0.625, 0.250], [0.875, 0.750, 0.625], [0.000, 0.000, 0.000], [0.000, 0.000, 0.500], [0.000, 0.500, 0.000], [0.000, 0.500, 0.500], [0.125, 0.750, 0.875], [0.125, 0.875, 0.250], [0.250, 0.125, 0.875], [0.250, 0.625, 0.375], [0.375, 0.250, 0.625], [0.375, 0.625, 0.750], [0.500, 0.000, 0.000], [0.500, 0.000, 0.500], [0.500, 0.500, 0.000], [0.500, 0.500, 0.500], [0.625, 0.375, 0.250], [0.625, 0.750, 0.375], [0.750, 0.375, 0.625], [0.750, 0.875, 0.125], [0.875, 0.125, 0.750], [0.875, 0.250, 0.125], [0.062, 0.230, 0.140], [0.062, 0.333, 0.923], [0.077, 0.640, 0.410], [0.077, 0.938, 0.667], [0.090, 0.730, 0.667], [0.090, 0.860, 0.423], [0.140, 0.062, 0.230], [0.140, 0.577, 0.910], [0.167, 0.230, 0.590], [0.167, 0.438, 0.577], [0.230, 0.140, 0.062], [0.230, 0.590, 0.167], [0.270, 0.333, 0.910], [0.270, 0.438, 0.360], [0.333, 0.910, 0.270], [0.333, 0.923, 0.062], [0.360, 0.270, 0.438], [0.360, 0.590, 0.923], [0.410, 0.077, 0.640], [0.410, 0.833, 0.770], [0.423, 0.090, 0.860], [0.423, 0.833, 0.562], [0.438, 0.360, 0.270], [0.438, 0.577, 0.167], [0.562, 0.423, 0.833], [0.562, 0.640, 0.730], [0.577, 0.167, 0.438], [0.577, 0.910, 0.140], [0.590, 0.167, 0.230], [0.590, 0.923, 0.360], [0.640, 0.410, 0.077], [0.640, 0.730, 0.562], [0.667, 0.077, 0.938], [0.667, 0.090, 0.730], [0.730, 0.562, 0.640], [0.730, 0.667, 0.090], [0.770, 0.410, 0.833], [0.770, 0.860, 0.938], [0.833, 0.562, 0.423], [0.833, 0.770, 0.410], [0.860, 0.423, 0.090], [0.860, 0.938, 0.770], [0.910, 0.140, 0.577], [0.910, 0.270, 0.333], [0.923, 0.062, 0.333], [0.923, 0.360, 0.590], [0.938, 0.667, 0.077], [0.938, 0.770, 0.860]]
}